# Y2TaRe | the Alexandria database | GGA-PBE | relaxed
# - energy above the lowest structure with this stoichiometry (eV/atom) = 0.239
# - formation energy (kcal/mol of atoms) = 6.31
# - calculated volume (Å³/atom) = 22.9
# - density (g cm⁻³) = 9.89
# - final energy (eV for the cell shown) = -36.1
data_Y2TaRe
_space_group_name_H-M_alt 'P 1'
_space_group_IT_number 1
_space_group_name_Hall 'P 1'
_cell_length_a 3.206
_cell_length_b 4.408
_cell_length_c 6.644
_cell_angle_alpha 90.00
_cell_angle_beta 102.91
_cell_angle_gamma 90.00
loop_
_atom_site_label
_atom_site_type_symbol
_atom_site_fract_x
_atom_site_fract_y
_atom_site_fract_z
Y1 Y 0.000 0.000 0.000
Y2 Y 0.272 0.500 0.670
Ta1 Ta 0.594 0.000 0.416
Re1 Re 0.771 0.500 0.245